1.
An optimized crystal structure of Tb2TeO6, computed with PBE.

Results
As for the symmetry: No. 14.

a = 5.4536 Å, b = 5.7590 Å, c = 9.1776 Å
α = 90.00°, β = 119.82°, γ = 90.00°
Positions (direct):
O: 0.8335 0.1788 0.5479
O: 0.2468 0.2657 0.4003
O: 0.4453 0.9110 0.2843
Tb: 0.8052 0.4269 0.7620
O: 0.7532 0.7657 0.0997
Tb: 0.1948 0.9269 0.7380
Te: 0.5000 0.5000 0.0000
O: 0.2468 0.2343 0.9003
Tb: 0.8052 0.0731 0.2620
O: 0.4453 0.5890 0.7843
O: 0.5547 0.4110 0.2157
O: 0.1665 0.8213 0.4521
O: 0.1665 0.6787 0.9521
O: 0.5547 0.0890 0.7157
Tb: 0.1948 0.5731 0.2380
O: 0.7532 0.7343 0.5997
Te: 0.5000 0.0000 0.5000
O: 0.8335 0.3213 0.0479



2.
An optimized crystal structure of KNbH2Se4, computed with PBE.

Results
As for the symmetry: No. 40.

a = 8.0276 Å, b = 10.0510 Å, c = 10.0510 Å
α = 146.62°, β = 90.00°, γ = 90.00°
Positions (direct):
Se: 0.0032 0.6169 0.8020
Se: 0.2500 0.1991 0.2258
Se: 0.2500 0.9961 0.4243
K: 0.7500 0.1184 0.4244
H: 0.2500 0.8362 0.1690
Se: 0.9968 0.8020 0.6169
H: 0.5000 0.6963 0.6963
Nb: 0.2500 0.3596 0.5706
Se: 0.7500 0.2258 0.1991
Se: 0.7500 0.4243 0.9961
K: 0.2500 0.4244 0.1184
Se: 0.5032 0.8020 0.6169
Se: 0.4968 0.6169 0.8020
Nb: 0.7500 0.5706 0.3596
H: 0.0000 0.6963 0.6963
H: 0.7500 0.1690 0.8362



3.
An optimized crystal structure of DyY2Ni2B2C3, computed with PBE.

Results
As for the symmetry: No. 139.

a = 10.5036 Å, b = 10.5036 Å, c = 10.5036 Å
α = 160.35°, β = 160.35°, γ = 27.93°
Positions (direct):
Dy: 0.0000 0.0000 0.0000
Y: 0.6229 0.6229 0.0000
Ni: 0.7500 0.2500 0.5000
Ni: 0.2500 0.7500 0.5000
C: 0.1235 0.1235 0.0000
C: 0.5000 0.5000 0.0000
B: 0.8037 0.8037 0.0000
B: 0.1963 0.1963 0.0000
C: 0.8765 0.8765 0.0000
Y: 0.3771 0.3771 0.0000



4.
An optimized crystal structure of Er3Si3Ni2, computed with PBE.

Results
As for the symmetry: No. 63.

a = 5.4254 Å, b = 5.4254 Å, c = 13.7517 Å
α = 90.00°, β = 90.00°, γ = 135.35°
Positions (direct):
Si: 0.3815 0.6185 0.5380
Er: 0.0886 0.9114 0.6098
Er: 0.0886 0.9114 0.8902
Ni: 0.7971 0.2029 0.5962
Er: 0.9114 0.0886 0.3902
Si: 0.3297 0.6702 0.2500
Ni: 0.2029 0.7971 0.4038
Si: 0.6185 0.3815 0.0380
Si: 0.6185 0.3815 0.4620
Si: 0.3815 0.6185 0.9620
Ni: 0.7971 0.2029 0.9038
Ni: 0.2029 0.7971 0.0962
Si: 0.6702 0.3297 0.7500
Er: 0.3700 0.6300 0.7500
Er: 0.9114 0.0886 0.1098
Er: 0.6300 0.3700 0.2500



5.
An optimized crystal structure of Hf4NiC3, computed with PBE.

Results
As for the symmetry: No. 194.

a = 3.2883 Å, b = 3.2883 Å, c = 23.3929 Å
α = 90.00°, β = 90.00°, γ = 120.00°
Positions (direct):
Hf: 0.6667 0.3333 0.9444
C: 0.6667 0.3333 0.1164
Hf: 0.3333 0.6667 0.4444
Hf: 0.0000 0.0000 0.1685
Hf: 0.3333 0.6667 0.0556
Hf: 0.6667 0.3333 0.5556
Ni: 0.3333 0.6667 0.2500
Hf: 0.0000 0.0000 0.8315
C: 0.3333 0.6667 0.8836
Ni: 0.6667 0.3333 0.7500
Hf: 0.0000 0.0000 0.6685
C: 0.0000 0.0000 0.5000
Hf: 0.0000 0.0000 0.3315
C: 0.3333 0.6667 0.6164
C: 0.6667 0.3333 0.3836
C: 0.0000 0.0000 0.0000



6.
An optimized crystal structure of Hf3InSn5, computed with PBE.

Results
As for the symmetry: No. 191.

a = 6.0193 Å, b = 6.0193 Å, c = 7.6918 Å
α = 90.00°, β = 90.00°, γ = 120.00°
Positions (direct):
Sn: 0.6667 0.3333 0.8168
Hf: 0.5000 0.0000 0.5000
Sn: 0.3333 0.6667 0.8168
Hf: 0.0000 0.5000 0.5000
Sn: 0.3333 0.6667 0.1832
Hf: 0.5000 0.5000 0.5000
Sn: 0.6667 0.3333 0.1832
In: 0.0000 0.0000 0.0000
Sn: 0.0000 0.0000 0.5000



7.
An optimized crystal structure of PuP4, computed with PBE.

Results
As for the symmetry: No. 15.

a = 7.2732 Å, b = 7.2732 Å, c = 5.9726 Å
α = 95.46°, β = 95.46°, γ = 137.57°
Each line ends with the local moment (μB).
Positions (direct):
P: 0.4373 0.1404 0.2256  -0.04
Pu: 0.6780 0.3220 0.7500  5.33
P: 0.1641 0.1495 0.6636  0.01
P: 0.5627 0.8596 0.7744  -0.04
P: 0.8359 0.8505 0.3364  0.01
Pu: 0.3220 0.6780 0.2500  5.33
P: 0.1495 0.1641 0.1636  0.01
P: 0.8505 0.8359 0.8364  0.01
P: 0.1404 0.4373 0.7256  -0.04
P: 0.8596 0.5627 0.2744  -0.04



8.
An optimized crystal structure of Pm3Bi4Au3, computed with PBE.

Results
As for the symmetry: No. 220.

a = 8.9002 Å, b = 8.9002 Å, c = 8.9002 Å
α = 109.47°, β = 109.47°, γ = 109.47°
Positions (direct):
Bi: 0.6808 0.5000 0.0000
Pm: 0.6250 0.7500 0.3750
Bi: 0.0000 0.6808 0.5000
Bi: 0.5000 0.0000 0.1808
Au: 0.1250 0.7500 0.8750
Bi: 0.8192 0.8192 0.8192
Au: 0.3750 0.2500 0.6250
Au: 0.2500 0.6250 0.3750
Pm: 0.3750 0.6250 0.7500
Bi: 0.5000 0.0000 0.6808
Bi: 0.1808 0.5000 0.0000
Pm: 0.7500 0.3750 0.6250
Au: 0.7500 0.8750 0.1250
Pm: 0.1250 0.8750 0.2500
Au: 0.6250 0.3750 0.2500
Pm: 0.8750 0.2500 0.1250
Bi: 0.0000 0.1808 0.5000
Pm: 0.2500 0.1250 0.8750
Bi: 0.3192 0.3192 0.3192
Au: 0.8750 0.1250 0.7500



no.,final energy (eV per atom)
1,-7.18
2,-4.43
3,-7.39
4,-5.98
5,-9.90
6,-5.88
7,-7.51
8,-4.76